1.
SrLa2Co | SCAN | PBEsol geometry

```
SrLa2Co
1.0
-2.602 -3.177 1.740
0.386 -2.373 -3.756
5.470 0.304 3.018
Co La Sr
1 2 1
Direct
0.250 0.750 0.500
0.000 0.000 0.000
0.750 0.250 0.500
0.500 0.500 0.000
```

Results
Energy above the most stable polymorph in this dataset ... 1.96 eV per formula unit
ΔE_f ... 0.52 eV/atom
Total DFT energy (no corrections) ... -123.71 eV/f.u.
Symmetry ... I-4m2
Crystal system ... tetragonal

=====

2.
SrLa3Co | SCAN | PBEsol geometry

```
SrLa3Co
1.0
5.522 0.000 0.000
0.000 5.522 0.000
0.000 0.000 5.522
Sr Co La
1 1 3
Direct
0.500 0.500 0.500
0.000 0.000 0.000
0.000 0.500 0.000
0.000 0.000 0.500
0.500 0.000 0.000
```

Results
ΔE_f ... 0.06 eV/atom
Total DFT energy (no corrections) ... -168.61 eV/f.u.
Symmetry ... Pm-3m
Crystal system ... cubic

=====

3.
Sr3LaCo | SCAN | PBEsol geometry

```
Sr3LaCo
1.0
-5.380 -0.981 -1.647
1.916 -2.605 -4.707
0.057 -4.987 2.783
Sr Co La
3 1 1
Direct
0.000 0.500 0.000
0.000 0.000 0.500
0.500 0.000 0.000
0.000 0.000 0.000
0.500 0.500 0.500
```

Results
ΔE_f ... 0.47 eV/atom
Total DFT energy (no corrections) ... -124.90 eV/f.u.
Symmetry ... Pm-3m
Crystal system ... cubic

=====

4.
SrLa2Co | SCAN | PBEsol geometry

```
SrLa2Co
1.0
-1.440 2.451 2.850
0.436 -0.957 3.886
8.248 5.289 2.462
Sr Co La
1 1 2
Direct
0.500 0.500 0.500
0.000 0.000 0.000
0.285 0.285 0.146
0.715 0.715 0.854
```

Results
Energy above the most stable polymorph in this dataset ... 0.00 eV per formula unit
ΔE_f ... 0.03 eV/atom
Total DFT energy (no corrections) ... -125.67 eV/f.u.
Symmetry ... R-3m
Crystal system ... trigonal